PBE-GGA Pa4Zn3Ga, relaxed; magnetic moment = 0.00 Bohr magnetons per cell; E_form = -0.06 eV per atom; final energy = -45.28 eV per cell; calculated volume = 166.4 Å³/cell
1.0
3.1365 0.0000 0.0000
0.0000 4.4385 0.0000
0.0000 0.0000 11.9500
Pa Zn Ga
4 3 1
Cartesian
0.0000 0.0000 0.0000
0.0000 2.2192 4.3306
1.5682 0.0000 5.9768
1.5682 2.2192 10.3339
0.0000 0.0000 8.8005
0.0000 2.2192 7.4971
1.5682 2.2192 1.5002
1.5682 0.0000 2.8364